No. 1
! PmSmAg2S4 (PBE, relaxed); values from VASP
&SYSTEM
  ibrav = 0, nat = 8, ntyp = 4
/
ATOMIC_SPECIES
S 32.06 S.upf
Ag 107.87 Ag.upf
Pm 145.00 Pm.upf
Sm 150.36 Sm.upf
ATOMIC_POSITIONS angstrom
S -3.180 -4.375 1.697
S -0.712 -2.352 -1.395
Ag -0.801 -4.542 1.470
Pm 1.826 -3.541 -1.331
Sm 0.000 0.000 0.000
Ag -3.089 -2.203 -1.163
S -1.353 -7.934 0.371
S 1.579 -4.710 1.243
CELL_PARAMETERS angstrom
-0.463 -1.202 -3.964
4.114 -5.881 1.302
-5.716 -3.204 1.638
! - Symmetry: P2/m, No. 10
! - D(E_F): 0.00 states/eV/f.u.
! - Energy relative to the elements, uncorrected: -1.28 eV per atom
! - Size of the total moment: 0.0 μB/f.u.
! - Total DFT energy (no corrections): -5.236 eV/atom

No. 2
! Sc4Al3Os (PBE, relaxed); values from VASP
&SYSTEM
  ibrav = 0, nat = 8, ntyp = 3
/
ATOMIC_SPECIES
Os 190.23 Os.upf
Al 26.98 Al.upf
Sc 44.96 Sc.upf
ATOMIC_POSITIONS angstrom
Os 1.664 1.664 0.000
Al 1.664 1.664 3.222
Al 1.664 1.664 10.195
Sc 0.000 0.000 1.503
Sc 0.000 0.000 11.914
Al 1.664 1.664 6.708
Sc 0.000 0.000 4.960
Sc 0.000 0.000 8.457
CELL_PARAMETERS angstrom
3.328 0.000 0.000
0.000 3.328 0.000
0.000 0.000 13.417
! - Symmetry: P4/mmm, No. 123
! - D(E_F): 3.47 states/eV/f.u.
! - Size of the total moment: 0.0 μB/f.u.
! - Formation energy from the elements: -48.0 kJ/mol of atoms
! - Total DFT energy (no corrections): -6.471 eV/atom

No. 3
! SnBi3Te4 (PBE, relaxed); values from VASP
&SYSTEM
  ibrav = 0, nat = 16, ntyp = 3
/
ATOMIC_SPECIES
Te 127.60 Te.upf
Sn 118.71 Sn.upf
Bi 208.98 Bi.upf
ATOMIC_POSITIONS angstrom
Te -0.827 -0.365 -3.888
Te 7.404 -4.004 -5.877
Sn 5.274 -4.407 -8.179
Te 3.565 -2.146 -7.159
Te 7.267 0.375 -6.477
Te 3.011 -2.224 -2.606
Sn 1.301 0.037 -1.588
Bi 1.108 -4.361 -0.719
Te 3.470 -6.256 -2.325
Te -0.692 -4.745 -3.290
Te 4.098 -6.831 -6.832
Bi 5.467 -0.009 -9.047
Bi 1.213 -3.081 -5.102
Bi 1.565 -6.172 -4.887
Bi 5.362 -1.288 -4.664
Bi 6.002 -6.915 -4.271
CELL_PARAMETERS angstrom
-3.940 -0.787 -4.862
8.557 0.484 -7.012
0.991 -8.718 0.608
! - Symmetry: Pmmn, No. 59
! - D(E_F): 3.48 states/eV/f.u.
! - Energy relative to the elements, uncorrected: -0.08 eV per atom
! - Size of the total moment: 0.0 μB/f.u.
! - Total DFT energy (no corrections): -3.602 eV/atom